1) Below is a relaxed structure of VIn3N, with properties calculated at the PBE level.

Structure (CIF):
```
data_VIn3N
_space_group_name_H-M_alt 'P 1'
_space_group_IT_number 1
_cell_length_a 4.670
_cell_length_b 4.670
_cell_length_c 4.670
_cell_angle_alpha 90.00
_cell_angle_beta 90.00
_cell_angle_gamma 90.00
loop_
_space_group_symop_operation_xyz
'x,y,z'
loop_
_atom_site_label
_atom_site_type_symbol
_atom_site_fract_x
_atom_site_fract_y
_atom_site_fract_z
In1 In 0.000 0.500 0.000
In2 In 0.500 0.000 0.000
In3 In 0.000 0.000 0.500
V1 V 0.500 0.500 0.500
N1 N 0.000 0.000 0.000
```

mass density	6.67	Mg/m³

2) Below is a relaxed structure of VIn3N, with properties calculated at the PBE level.

Structure (CIF):
```
data_VIn3N
_space_group_name_H-M_alt 'P 1'
_space_group_IT_number 1
_cell_length_a 5.338
_cell_length_b 5.338
_cell_length_c 5.338
_cell_angle_alpha 90.00
_cell_angle_beta 90.00
_cell_angle_gamma 90.00
loop_
_space_group_symop_operation_xyz
'x,y,z'
loop_
_atom_site_label
_atom_site_type_symbol
_atom_site_fract_x
_atom_site_fract_y
_atom_site_fract_z
In1 In 0.500 0.000 0.000
In2 In 0.000 0.500 0.000
In3 In 0.000 0.000 0.500
V1 V 0.000 0.000 0.000
N1 N 0.500 0.500 0.500
```

mass density	4.47	Mg/m³

If we sort the structures by their calculated energies, the order from most to least stable is 1), 2).

1) Below is a relaxed structure of In3WN, with properties calculated at the PBE level.

Structure (CIF):
```
data_In3WN
_space_group_name_H-M_alt 'P 1'
_space_group_IT_number 1
_cell_length_a 5.347
_cell_length_b 5.347
_cell_length_c 5.347
_cell_angle_alpha 90.00
_cell_angle_beta 90.00
_cell_angle_gamma 90.00
loop_
_space_group_symop_operation_xyz
'x,y,z'
loop_
_atom_site_label
_atom_site_type_symbol
_atom_site_fract_x
_atom_site_fract_y
_atom_site_fract_z
In1 In 0.000 0.000 0.500
In2 In 0.500 0.000 0.000
In3 In 0.000 0.500 0.000
W1 W 0.000 0.000 0.000
N1 N 0.500 0.500 0.500
```

mass density	5.89	Mg/m³

2) Below is a relaxed structure of In3WN, with properties calculated at the PBE level.

Structure (CIF):
```
data_In3WN
_space_group_name_H-M_alt 'P 1'
_space_group_IT_number 1
_cell_length_a 4.541
_cell_length_b 4.541
_cell_length_c 4.541
_cell_angle_alpha 90.00
_cell_angle_beta 90.00
_cell_angle_gamma 90.00
loop_
_space_group_symop_operation_xyz
'x,y,z'
loop_
_atom_site_label
_atom_site_type_symbol
_atom_site_fract_x
_atom_site_fract_y
_atom_site_fract_z
W1 W 0.500 0.500 0.500
In1 In 0.500 0.000 0.000
In2 In 0.000 0.000 0.500
In3 In 0.000 0.500 0.000
N1 N 0.000 0.000 0.000
```

mass density	9.62	Mg/m³

If we sort the structures by their calculated energies, the order from most to least stable is 2), 1).

1) Below is a relaxed structure of InW2N, with properties calculated at the PBE level.

Structure (CIF):
```
data_InW2N
_space_group_name_H-M_alt 'P 1'
_space_group_IT_number 1
_cell_length_a 4.390
_cell_length_b 4.390
_cell_length_c 4.390
_cell_angle_alpha 60.00
_cell_angle_beta 60.00
_cell_angle_gamma 60.00
loop_
_space_group_symop_operation_xyz
'x,y,z'
loop_
_atom_site_label
_atom_site_type_symbol
_atom_site_fract_x
_atom_site_fract_y
_atom_site_fract_z
W1 W 0.750 0.750 0.750
W2 W 0.250 0.250 0.250
In1 In 0.500 0.500 0.500
N1 N 0.000 0.000 0.000
```

mass density	13.78	Mg/m³

2) Below is a relaxed structure of InW2N, with properties calculated at the PBE level.

Structure (CIF):
```
data_InW2N
_space_group_name_H-M_alt 'P 1'
_space_group_IT_number 1
_cell_length_a 5.172
_cell_length_b 5.172
_cell_length_c 6.797
_cell_angle_alpha 67.64
_cell_angle_beta 67.64
_cell_angle_gamma 90.00
loop_
_space_group_symop_operation_xyz
'x,y,z'
loop_
_atom_site_label
_atom_site_type_symbol
_atom_site_fract_x
_atom_site_fract_y
_atom_site_fract_z
W1 W 0.875 0.712 0.750
W2 W 0.462 0.125 0.250
W3 W 0.375 0.538 0.750
W4 W 0.288 0.625 0.250
In1 In 0.000 0.000 0.000
In2 In 0.750 0.250 0.500
N1 N 0.250 0.750 0.500
N2 N 0.500 0.500 0.000
```

mass density	10.76	Mg/m³

If we sort the structures by their calculated energies, the order from most to least stable is 2), 1).

1) Below is a relaxed structure of YIn3N, with properties calculated at the PBE level.

Structure (CIF):
```
data_YIn3N
_space_group_name_H-M_alt 'P 1'
_space_group_IT_number 1
_cell_length_a 4.825
_cell_length_b 4.825
_cell_length_c 4.825
_cell_angle_alpha 90.00
_cell_angle_beta 90.00
_cell_angle_gamma 90.00
loop_
_space_group_symop_operation_xyz
'x,y,z'
loop_
_atom_site_label
_atom_site_type_symbol
_atom_site_fract_x
_atom_site_fract_y
_atom_site_fract_z
Y1 Y 0.500 0.500 0.500
In1 In 0.000 0.500 0.000
In2 In 0.000 0.000 0.500
In3 In 0.500 0.000 0.000
N1 N 0.000 0.000 0.000
```

mass density	6.61	Mg/m³

2) Below is a relaxed structure of YIn3N, with properties calculated at the PBE level.

Structure (CIF):
```
data_YIn3N
_space_group_name_H-M_alt 'P 1'
_space_group_IT_number 1
_cell_length_a 5.872
_cell_length_b 5.872
_cell_length_c 5.872
_cell_angle_alpha 90.00
_cell_angle_beta 90.00
_cell_angle_gamma 90.00
loop_
_space_group_symop_operation_xyz
'x,y,z'
loop_
_atom_site_label
_atom_site_type_symbol
_atom_site_fract_x
_atom_site_fract_y
_atom_site_fract_z
In1 In 0.500 0.000 0.000
In2 In 0.000 0.000 0.500
In3 In 0.000 0.500 0.000
N1 N 0.500 0.500 0.500
Y1 Y 0.000 0.000 0.000
```

mass density	3.67	Mg/m³

If we sort the structures by their calculated energies, the order from most to least stable is 1), 2).

1) Below is a relaxed structure of Y2InN2, with properties calculated at the PBE level.

Structure (CIF):
```
data_Y2InN2
_space_group_name_H-M_alt 'P 1'
_space_group_IT_number 1
_cell_length_a 7.462
_cell_length_b 7.462
_cell_length_c 3.257
_cell_angle_alpha 90.00
_cell_angle_beta 90.00
_cell_angle_gamma 90.00
loop_
_space_group_symop_operation_xyz
'x,y,z'
loop_
_atom_site_label
_atom_site_type_symbol
_atom_site_fract_x
_atom_site_fract_y
_atom_site_fract_z
N1 N 0.180 0.680 0.500
N2 N 0.320 0.180 0.500
N3 N 0.680 0.820 0.500
N4 N 0.820 0.320 0.500
Y1 Y 0.339 0.839 0.000
Y2 Y 0.661 0.161 0.000
Y3 Y 0.161 0.339 0.000
Y4 Y 0.839 0.661 0.000
In1 In 0.500 0.500 0.000
In2 In 0.000 0.000 0.000
```

mass density	5.87	Mg/m³

2) Below is a relaxed structure of Y2InN2, with properties calculated at the PBE level.

Structure (CIF):
```
data_Y2InN2
_space_group_name_H-M_alt 'P 1'
_space_group_IT_number 1
_cell_length_a 4.262
_cell_length_b 4.262
_cell_length_c 6.542
_cell_angle_alpha 70.99
_cell_angle_beta 70.99
_cell_angle_gamma 90.00
loop_
_space_group_symop_operation_xyz
'x,y,z'
loop_
_atom_site_label
_atom_site_type_symbol
_atom_site_fract_x
_atom_site_fract_y
_atom_site_fract_z
In1 In 0.000 0.000 0.000
Y1 Y 0.320 0.320 0.361
Y2 Y 0.680 0.680 0.639
N1 N 0.750 0.250 0.500
N2 N 0.250 0.750 0.500
```

mass density	5.05	Mg/m³

If we sort the structures by their calculated energies, the order from most to least stable is 2), 1).

1) Below is a relaxed structure of Zn3InN, with properties calculated at the PBE level.

Structure (CIF):
```
data_Zn3InN
_space_group_name_H-M_alt 'P 1'
_space_group_IT_number 1
_cell_length_a 5.232
_cell_length_b 5.232
_cell_length_c 5.232
_cell_angle_alpha 90.00
_cell_angle_beta 90.00
_cell_angle_gamma 90.00
loop_
_space_group_symop_operation_xyz
'x,y,z'
loop_
_atom_site_label
_atom_site_type_symbol
_atom_site_fract_x
_atom_site_fract_y
_atom_site_fract_z
Zn1 Zn 0.000 0.500 0.000
Zn2 Zn 0.000 0.000 0.500
Zn3 Zn 0.500 0.000 0.000
N1 N 0.500 0.500 0.500
In1 In 0.000 0.000 0.000
```

mass density	3.77	Mg/m³

2) Below is a relaxed structure of Zn3InN, with properties calculated at the PBE level.

Structure (CIF):
```
data_Zn3InN
_space_group_name_H-M_alt 'P 1'
_space_group_IT_number 1
_cell_length_a 4.307
_cell_length_b 4.307
_cell_length_c 4.307
_cell_angle_alpha 90.00
_cell_angle_beta 90.00
_cell_angle_gamma 90.00
loop_
_space_group_symop_operation_xyz
'x,y,z'
loop_
_atom_site_label
_atom_site_type_symbol
_atom_site_fract_x
_atom_site_fract_y
_atom_site_fract_z
Zn1 Zn 0.500 0.000 0.000
Zn2 Zn 0.000 0.000 0.500
Zn3 Zn 0.000 0.500 0.000
In1 In 0.500 0.500 0.500
N1 N 0.000 0.000 0.000
```

mass density	6.76	Mg/m³

If we sort the structures by their calculated energies, the order from most to least stable is 2), 1).